First-principles (GGA-PBE) data for LaNd3Bi4 after structural relaxation, as listed in Alexandria.

**Total moment**: 0.00 μB per formula unit
**DOS at the Fermi energy**: 2.13 states/eV/cell
**V**: 35.20 A^3/atom
**DFT formation energy**: -94.2 kJ/mol of atoms
**E above lowest polymorph**: 3 meV per atom

```
data_LaNd3Bi4
_symmetry_space_group_name_H-M 'C m m m'
_symmetry_Int_Tables_number 65
_symmetry_space_group_name_Hall '-C 2 2'
_cell_length_a 9.266
_cell_length_b 13.103
_cell_length_c 4.638
_cell_angle_alpha 90.00
_cell_angle_beta 90.00
_cell_angle_gamma 90.00
loop_
_atom_site_label
_atom_site_type_symbol
_atom_site_fract_x
_atom_site_fract_y
_atom_site_fract_z
_atom_site_occupancy
La1 La 0.000 0.000 0.000 1
Nd1 Nd 0.000 0.500 0.000 1
Nd2 Nd 0.250 0.250 0.500 1
Bi1 Bi 0.000 0.251 0.000 1
Bi2 Bi 0.247 0.500 0.500 1
```

---

First-principles (GGA-PBE) data for LaNd5Bi6 after structural relaxation, as listed in Alexandria.

**Total moment**: 0.00 μB per formula unit
**DOS at the Fermi energy**: 3.67 states/eV/cell
**V**: 35.01 A^3/atom
**DFT formation energy**: -93.4 kJ/mol of atoms

```
data_LaNd5Bi6
_symmetry_space_group_name_H-M 'C 1 2/m 1'
_symmetry_Int_Tables_number 12
_cell_length_a 8.014
_cell_length_b 13.881
_cell_length_c 8.014
_cell_angle_alpha 90.00
_cell_angle_beta 109.49
_cell_angle_gamma 90.00
loop_
_symmetry_equiv_pos_as_xyz
'x,y,z'
'-x,-y,-z'
'-x,y,-z'
'x,-y,z'
'x+1/2,y+1/2,z'
'-x+1/2,-y+1/2,-z'
'-x+1/2,y+1/2,-z'
'x+1/2,-y+1/2,z'
loop_
_atom_site_label
_atom_site_type_symbol
_atom_site_fract_x
_atom_site_fract_y
_atom_site_fract_z
_atom_site_occupancy
La1 La 0.000 0.000 0.000 1
Nd1 Nd 0.000 0.166 0.500 1
Nd2 Nd 0.000 0.333 0.000 1
Nd3 Nd 0.000 0.500 0.500 1
Bi1 Bi 0.248 0.332 0.748 1
Bi2 Bi 0.248 0.500 0.251 1
```